# 1
# Mn3GeN | Alexandria | PBE-GGA | relaxed
# offset from the most stable computed form	242	kJ/mol of formula units
# crystal system	tetragonal
# raw formation energy	0.217	eV/atom
# DOS at the Fermi energy	3.9	states/eV per cell
data_Mn3GeN
_cell_length_a 3.638
_cell_length_b 3.638
_cell_length_c 6.156
_cell_angle_alpha 90.00
_cell_angle_beta 90.00
_cell_angle_gamma 90.00
_space_group_name_H-M_alt 'P 4 m m'
_space_group_IT_number 99
_space_group_name_Hall 'P 4 -2'
loop_
_atom_site_label
_atom_site_type_symbol
_atom_site_fract_x
_atom_site_fract_y
_atom_site_fract_z
_atom_site_occupancy
Mn1 Mn 0.000 0.000 0.000 1
Mn2 Mn 0.000 0.500 0.679 1
Ge1 Ge 0.000 0.000 0.406 1
N1 N 0.500 0.500 0.731 1


# 2
# Mn5Ge2N6 | Alexandria | PBE-GGA | relaxed
# crystal system	monoclinic
# raw formation energy	-0.034	eV/atom
# DOS at the Fermi energy	15.6	states/eV per cell
data_Mn5Ge2N6
_cell_length_a 15.575
_cell_length_b 4.801
_cell_length_c 9.295
_cell_angle_alpha 90.00
_cell_angle_beta 110.22
_cell_angle_gamma 90.00
_space_group_name_H-M_alt 'C 1 2/c 1'
_space_group_IT_number 15
_space_group_name_Hall '-C 2yc'
loop_
_atom_site_label
_atom_site_type_symbol
_atom_site_fract_x
_atom_site_fract_y
_atom_site_fract_z
_atom_site_occupancy
Mn1 Mn 0.000 0.218 0.250 1
Mn2 Mn 0.005 0.246 0.516 1
Mn3 Mn 0.172 0.377 0.721 1
Ge1 Ge 0.196 0.000 0.440 1
N1 N 0.054 0.463 0.156 1
N2 N 0.067 0.013 0.423 1
N3 N 0.244 0.328 0.360 1


# 3
# Mn3GeN | Alexandria | PBE-GGA | relaxed
# offset from the most stable computed form	105	kJ/mol of formula units
# crystal system	orthorhombic
# raw formation energy	-0.067	eV/atom
# DOS at the Fermi energy	19.3	states/eV per cell
data_Mn3GeN
_cell_length_a 3.829
_cell_length_b 12.311
_cell_length_c 5.111
_cell_angle_alpha 90.00
_cell_angle_beta 90.00
_cell_angle_gamma 90.00
_space_group_name_H-M_alt 'C m c m'
_space_group_IT_number 63
_space_group_name_Hall '-C 2c 2'
loop_
_atom_site_label
_atom_site_type_symbol
_atom_site_fract_x
_atom_site_fract_y
_atom_site_fract_z
_atom_site_occupancy
Mn1 Mn 0.000 0.101 0.250 1
Mn2 Mn 0.000 0.306 0.012 1
Ge1 Ge 0.000 0.108 0.750 1
N1 N 0.000 0.409 0.750 1


# 4
# MnGe2N2 | Alexandria | PBE-GGA | relaxed
# offset from the most stable computed form	0	kJ/mol of formula units
# crystal system	tetragonal
# raw formation energy	0.452	eV/atom
# DOS at the Fermi energy	3.6	states/eV per cell
data_MnGe2N2
_cell_length_a 6.240
_cell_length_b 6.240
_cell_length_c 3.326
_cell_angle_alpha 90.00
_cell_angle_beta 90.00
_cell_angle_gamma 90.00
_space_group_name_H-M_alt 'P 4/m b m'
_space_group_IT_number 127
_space_group_name_Hall '-P 4 2ab'
loop_
_atom_site_label
_atom_site_type_symbol
_atom_site_fract_x
_atom_site_fract_y
_atom_site_fract_z
_atom_site_occupancy
Mn1 Mn 0.000 0.000 0.000 1
Ge1 Ge 0.139 0.361 0.500 1
N1 N 0.242 0.258 0.000 1


# 5
# Mn3GeN | Alexandria | PBE-GGA | relaxed
# offset from the most stable computed form	347	kJ/mol of formula units
# crystal system	orthorhombic
# raw formation energy	0.433	eV/atom
# DOS at the Fermi energy	15.3	states/eV per cell
data_Mn3GeN
_cell_length_a 5.143
_cell_length_b 12.691
_cell_length_c 4.585
_cell_angle_alpha 90.00
_cell_angle_beta 90.00
_cell_angle_gamma 90.00
_space_group_name_H-M_alt 'C m c m'
_space_group_IT_number 63
_space_group_name_Hall '-C 2c 2'
loop_
_atom_site_label
_atom_site_type_symbol
_atom_site_fract_x
_atom_site_fract_y
_atom_site_fract_z
_atom_site_occupancy
Mn1 Mn 0.000 0.000 0.000 1
Mn2 Mn 0.241 0.167 0.250 1
Ge1 Ge 0.000 0.173 0.750 1
N1 N 0.000 0.418 0.750 1


# 6
# Mn12Ge4N3 | Alexandria | PBE-GGA | relaxed
# crystal system	tetragonal
# raw formation energy	-0.215	eV/atom
# DOS at the Fermi energy	15.6	states/eV per cell
data_Mn12Ge4N3
_cell_length_a 5.210
_cell_length_b 5.210
_cell_length_c 7.861
_cell_angle_alpha 90.00
_cell_angle_beta 90.00
_cell_angle_gamma 90.00
_space_group_name_H-M_alt 'P 4/m'
_space_group_IT_number 83
_space_group_name_Hall '-P 4'
loop_
_atom_site_label
_atom_site_type_symbol
_atom_site_fract_x
_atom_site_fract_y
_atom_site_fract_z
_atom_site_occupancy
Mn1 Mn 0.000 0.000 0.244 1
Mn2 Mn 0.180 0.320 0.000 1
Mn3 Mn 0.232 0.752 0.500 1
Mn4 Mn 0.500 0.500 0.251 1
Ge1 Ge 0.000 0.500 0.268 1
N1 N 0.000 0.000 0.000 1
N2 N 0.500 0.500 0.000 1
N3 N 0.500 0.500 0.500 1